No. 1
Density functional theory data (PBE) for crystalline TaCo2TcCl at its relaxed geometry.

Properties
Magnetic moment, μB per atom: 0.0001
Space group: P4/mmm
Raw formation energy, kJ/mol of formula units: 693.4
DOS(E_F), states/eV/atom: 1.283
Total energy, hartree per atom: -0.229

a = 4.3851 Å, b = 4.3851 Å, c = 4.4482 Å
α = 90.00°, β = 90.00°, γ = 90.00°
Last column: nearest neighbours and their distance in Å.
Fractional positions:
Ta  0.0000  0.0000  0.0000  4 Cl 3.10, 8 Co 3.12
Co  0.0000  0.5000  0.5000  2 Tc 2.19
Co  0.5000  0.0000  0.5000  2 Tc 2.19
Tc  0.5000  0.5000  0.5000  4 Co 2.19, 2 Cl 2.22
Cl  0.5000  0.5000  0.0000  2 Tc 2.22

No. 2
Density functional theory data (PBE) for crystalline Mg2ZrCd9 at its relaxed geometry.

Properties
DFT formation energy, meV/atom: -84
Magnetic moment, μB per atom: 0.0000
Space group: P4/mmm
DOS(E_F), states/eV/atom: 0.192
Total energy, hartree per atom: -0.064

a = 4.5468 Å, b = 4.5468 Å, c = 12.5923 Å
α = 90.00°, β = 90.00°, γ = 90.00°
Last column: nearest neighbours and their distance in Å.
Fractional positions:
Mg  0.0000  0.0000  0.1721  12 Cd 3.05-3.22
Mg  0.0000  0.0000  0.8279  12 Cd 3.05-3.22
Zr  0.0000  0.0000  0.5000  12 Cd 3.09-3.22
Cd  0.0000  0.5000  0.0000  8 Cd 3.05-3.22, 4 Mg 3.14
Cd  0.0000  0.5000  0.3334  2 Mg 3.05, 8 Cd 3.09-3.22, 2 Zr 3.09
Cd  0.0000  0.5000  0.6666  2 Mg 3.05, 8 Cd 3.09-3.22, 2 Zr 3.09
Cd  0.5000  0.0000  0.0000  8 Cd 3.05-3.22, 4 Mg 3.14
Cd  0.5000  0.0000  0.3334  2 Mg 3.05, 8 Cd 3.09-3.22, 2 Zr 3.09
Cd  0.5000  0.0000  0.6666  2 Mg 3.05, 8 Cd 3.09-3.22, 2 Zr 3.09
Cd  0.5000  0.5000  0.1614  8 Cd 3.05-3.14, 4 Mg 3.22
Cd  0.5000  0.5000  0.5000  8 Cd 3.09, 4 Zr 3.22
Cd  0.5000  0.5000  0.8386  8 Cd 3.05-3.14, 4 Mg 3.22

Question: What is the formula in the first record?
Answer: TaCo2TcCl

Question: The highest magnetic moment belongs to which entry?
Answer: TaCo2TcCl

Question: What is the formula in the second record?
Answer: Mg2ZrCd9